VASP calculation (PBEsol) on crystalline CsKZnPt2 at its relaxed geometry.

```
CsKZnPt2
1.0
5.2985 0.0000 0.0000
0.0000 5.2985 0.0000
0.0000 0.0000 5.7790
Cs K Zn Pt
1 1 1 2
Direct
0.0000 0.0000 0.0000
0.5000 0.5000 0.5000
0.5000 0.5000 0.0000
0.0000 0.5000 0.5000
0.5000 0.0000 0.5000
```

Summary:
- DFT formation energy: 1.273 eV/atom
- VASP energy: -2.2435 eV per atom